# 1
# CrCuO3

An optimized crystal structure of CrCuO3 (PBE with a Hubbard U, Alexandria via LeMat-Bulk).

Computed properties:
SG = R3m

a = 3.8795 Å, b = 3.8795 Å, c = 3.8795 Å
α = 87.20°, β = 87.20°, γ = 87.20°
Each line ends with the local moment (μB).
Fractional positions:
O 0.7010 0.1823 0.1823  -0.31
O 0.1823 0.1823 0.7010  -0.31
O 0.1823 0.7010 0.1823  -0.31
Cu 0.8369 0.8369 0.8369  -0.56
Cr 0.2225 0.2225 0.2225  2.54


# 2
# Li2MnFeB2O6

An optimized crystal structure of Li2MnFeB2O6 (PBE with a Hubbard U, Alexandria via LeMat-Bulk).

Computed properties:
Energy above the lowest structure with this stoichiometry = 0.07 kcal/mol of atoms
SG = P1

a = 5.2622 Å, b = 6.1875 Å, c = 7.8982 Å
α = 101.78°, β = 92.02°, γ = 88.87°
Each line ends with the local moment (μB).
Fractional positions:
Li 0.5734 0.8722 0.1947  0.00
Li 0.0734 0.3721 0.6947  0.00
Li 0.4299 0.1290 0.8043  0.00
Li 0.9299 0.6290 0.3043  0.00
O 0.0315 0.3394 0.1694  0.04
O 0.4616 0.1552 0.3324  0.04
O 0.1651 0.7968 0.4735  0.04
O 0.6651 0.2967 0.9736  0.04
O 0.3367 0.7039 0.0207  0.04
O 0.5772 0.6683 0.3687  0.03
O 0.9293 0.8358 0.1320  0.02
O 0.5315 0.8395 0.6694  0.04
O 0.9616 0.6552 0.8324  0.04
O 0.8367 0.2041 0.5207  0.04
O 0.0772 0.1683 0.8688  0.03
O 0.4292 0.3358 0.6320  0.02
B 0.4240 0.7645 0.5032  0.02
B 0.5750 0.2356 0.4961  0.02
B 0.9240 0.2644 0.0033  0.02
B 0.0750 0.7355 0.9961  0.02
Mn 0.4244 0.4120 0.1775  4.63
Mn 0.9244 0.9121 0.6774  4.63
Fe 0.5721 0.5874 0.8274  3.75
Fe 0.0721 0.0873 0.3274  3.75


no.,VASP energy (eV per atom)
1,-6.10
2,-7.11